Entry 1:
K3NpPd2S6 (PBE-GGA, optimized geometry); symmetry = C2/m
1.0
-3.3132 2.7852 4.9168
-2.5745 -4.9750 -3.3956
4.9645 -4.0891 4.2586
K Np Pd S
3 1 2 6
Direct
0.1677 0.8323 0.5000
0.8323 0.1677 0.5000
0.5000 0.5000 0.5000
0.0000 0.0000 0.0000
0.3350 0.6650 0.0000
0.6650 0.3350 0.0000
0.9301 0.5917 0.8098
0.7265 0.7265 0.1943
0.0699 0.4083 0.1902
0.5917 0.9301 0.8098
0.2735 0.2735 0.8057
0.4083 0.0699 0.1902


Entry 2:
Tl12Pt3S5 (PBE-GGA, optimized geometry); symmetry = Ia-3d
1.0
14.5257 0.0000 0.0000
-4.8419 13.6949 0.0000
-4.8419 -6.8475 11.8602
Pt S Tl
12 20 48
Direct
0.7500 0.3750 0.1250
0.8750 0.7500 0.1250
0.3750 0.7500 0.6250
0.2500 0.1250 0.3750
0.8750 0.1250 0.2500
0.3750 0.6250 0.2500
0.6250 0.3750 0.7500
0.1250 0.8750 0.7500
0.7500 0.8750 0.6250
0.6250 0.2500 0.3750
0.1250 0.2500 0.8750
0.2500 0.6250 0.8750
0.1250 0.3750 0.2500
0.0000 0.5000 0.0000
0.0000 0.0000 0.0000
0.3750 0.2500 0.1250
0.5000 0.0000 0.5000
0.5000 0.5000 0.0000
0.1250 0.7500 0.3750
0.7500 0.1250 0.8750
0.7500 0.6250 0.3750
0.3750 0.1250 0.7500
0.6250 0.8750 0.2500
0.5000 0.5000 0.5000
0.5000 0.0000 0.0000
0.0000 0.0000 0.5000
0.2500 0.3750 0.6250
0.2500 0.8750 0.1250
0.0000 0.5000 0.5000
0.8750 0.2500 0.6250
0.6250 0.7500 0.8750
0.8750 0.6250 0.7500
0.7315 0.1358 0.0608
0.3293 0.5608 0.4250
0.9392 0.3642 0.2685
0.5608 0.2315 0.1358
0.5957 0.7315 0.6707
0.9392 0.5750 0.1707
0.3293 0.7685 0.4043
0.0750 0.9043 0.1358
0.5750 0.9392 0.6707
0.7315 0.5957 0.1707
0.7685 0.4392 0.3642
0.8293 0.9250 0.0608
0.1358 0.7315 0.5608
0.3642 0.4250 0.0957
0.0957 0.9250 0.3642
0.4043 0.1358 0.5750
0.0957 0.1707 0.2315
0.4392 0.6707 0.0750
0.8293 0.9043 0.2685
0.1358 0.4043 0.0750
0.3642 0.9392 0.7685
0.5750 0.6358 0.4043
0.9250 0.8293 0.5608
0.7685 0.3293 0.9043
0.4250 0.3642 0.5957
0.0750 0.1707 0.4392
0.2315 0.6707 0.0957
0.1707 0.0957 0.7315
0.6358 0.0608 0.2315
0.8642 0.5957 0.9250
0.5608 0.3293 0.9250
0.5957 0.8642 0.4250
0.9043 0.8293 0.7685
0.9043 0.0750 0.6358
0.8642 0.2685 0.4392
0.1707 0.0750 0.9392
0.6358 0.5750 0.9043
0.4250 0.0608 0.3293
0.2685 0.4043 0.8293
0.2315 0.5608 0.6358
0.9250 0.0957 0.8642
0.6707 0.2315 0.5957
0.4392 0.7685 0.8642
0.0608 0.4250 0.8293
0.4043 0.2685 0.3293
0.0608 0.6358 0.7315
0.6707 0.4392 0.5750
0.2685 0.8642 0.9392


Entry 3:
Nd2GeTe4 (PBE-GGA, optimized geometry); symmetry = I-42m
1.0
-0.3182 -5.3031 4.5934
-2.2009 -4.2906 -5.1059
7.3484 3.2697 -1.0851
Nd Ge Te
2 1 4
Direct
0.7500 0.2500 0.5000
0.2500 0.7500 0.5000
0.5000 0.5000 0.0000
0.8636 0.3589 0.2225
0.3589 0.8636 0.2225
0.6411 0.6411 0.7775
0.1364 0.1364 0.7775


| no. | formation energy without anion corrections (meV/atom) |
| --- | --- |
| 1 | -827 |
| 2 | -56 |
| 3 | -747 |